Compound: HgP2ICl
Source: Alexandria via LeMat-Bulk
Functional: PBEsol
Structure: optimized geometry

It has space group P4/mmm (No. 123), with a = 5.123 Å, b = 5.123 Å, c = 5.381 Å, α = 90.00°, β = 90.00° and γ = 90.00°. The asymmetric unit holds Hg at (0.000, 0.000, 0.000), P at (0.000, 0.500, 0.500), I at (0.500, 0.500, 0.500) and Cl at (0.500, 0.500, 0.000).

The calculation puts the density at 4996 kg/m³. The value obtained for the formation energy from raw total energies is 1086 meV/atom. The value obtained for the final energy is -2.099 eV per atom. The value obtained for the volume is 28.2 Å³/atom.


Compound: Sc4CdAu
Source: Alexandria via LeMat-Bulk
Functional: PBEsol
Structure: optimized geometry

It has space group F-43m (No. 216), with a = 7.942 Å, b = 7.942 Å, c = 7.942 Å, α = 90.00°, β = 90.00° and γ = 90.00°. The asymmetric unit holds Sc at (0.125, 0.125, 0.125), Cd at (0.000, 0.000, 0.500) and Au at (0.250, 0.250, 0.750).

The calculation puts the density at 6486 kg/m³. The value obtained for the final energy is -5.113 eV per atom. The value obtained for the volume is 20.9 Å³/atom.


Compound: K2OsO6
Source: Alexandria via LeMat-Bulk
Functional: PBEsol
Structure: optimized geometry

It has space group I4/m (No. 87), with a = 5.862 Å, b = 5.862 Å, c = 9.152 Å, α = 90.00°, β = 90.00° and γ = 90.00°. The asymmetric unit holds K at (0.000, 0.500, 0.250), Os at (0.000, 0.000, 0.000), O at (0.000, 0.000, 0.202) and O at (0.139, 0.718, 0.000).

The calculation puts the density at 3848 kg/m³. The value obtained for the formation energy from raw total energies is -828 meV/atom. The value obtained for the final energy is -5.937 eV per atom. The value obtained for the volume is 17.5 Å³/atom.


Compound: In2SiBiCl
Source: Alexandria via LeMat-Bulk
Functional: PBEsol
Structure: optimized geometry

It has space group P4/mmm (No. 123), with a = 5.321 Å, b = 5.321 Å, c = 5.281 Å, α = 90.00°, β = 90.00° and γ = 90.00°. The asymmetric unit holds In at (0.000, 0.500, 0.000), Si at (0.000, 0.000, 0.000), Bi at (0.000, 0.000, 0.500) and Cl at (0.500, 0.500, 0.500).

The calculation puts the density at 5577 kg/m³. The value obtained for the formation energy from raw total energies is 255 meV/atom. The value obtained for the final energy is -3.346 eV per atom. The value obtained for the volume is 29.9 Å³/atom.


Please write out number 2 again, unchanged.
Compound: Sc4CdAu
Source: Alexandria via LeMat-Bulk
Functional: PBEsol
Structure: optimized geometry

It has space group F-43m (No. 216), with a = 7.942 Å, b = 7.942 Å, c = 7.942 Å, α = 90.00°, β = 90.00° and γ = 90.00°. The asymmetric unit holds Sc at (0.125, 0.125, 0.125), Cd at (0.000, 0.000, 0.500) and Au at (0.250, 0.250, 0.750).

The calculation puts the density at 6486 kg/m³. The value obtained for the final energy is -5.113 eV per atom. The value obtained for the volume is 20.9 Å³/atom.